1.
# RuSF2

A relaxed structure of RuSF2 (GGA-PBE, the Alexandria database).

The calculation puts the uncorrected energy at -4.446 eV/atom. The value obtained for the energy above the most stable polymorph in this dataset is 467 meV per atom.

The structure belongs to space group R-3m (No. 166, hexagonal axes); the cell edges are 2.7245, 2.7245 and 25.2237 Å and the angles 90.00°, 90.00° and 120.00°. The distinct sites, in fractional coordinates, are Ru at (0.0000, 0.0000, 0.0000), S at (0.0000, 0.0000, 0.5000) and F at (0.0000, 0.0000, 0.4296).



2.
# RuSF2

A relaxed structure of RuSF2 (GGA-PBE, the Alexandria database).

The calculation puts the uncorrected energy at -4.913 eV/atom. The value obtained for the energy above the most stable polymorph in this dataset is 0 meV per atom.

The structure belongs to space group I-42d (No. 122); the cell edges are 7.6698, 7.6698 and 4.3778 Å and the angles 90.00°, 90.00° and 90.00°. The distinct sites, in fractional coordinates, are Ru at (0.0000, 0.0000, 0.0000), S at (0.0000, 0.0000, 0.5000) and F at (0.1052, 0.2500, 0.1250).



3.
# RuSF2

A relaxed structure of RuSF2 (GGA-PBE, the Alexandria database).

The calculation puts the uncorrected energy at -4.187 eV/atom. The value obtained for the energy above the most stable polymorph in this dataset is 726 meV per atom.

The structure belongs to space group Fm-3m (No. 225); the cell edges are 5.8688, 5.8688 and 5.8688 Å and the angles 90.00°, 90.00° and 90.00°. The distinct sites, in fractional coordinates, are Ru at (0.0000, 0.0000, 0.0000), S at (0.0000, 0.0000, 0.5000) and F at (0.2500, 0.2500, 0.2500).



4.
# RuS2F

A relaxed structure of RuS2F (GGA-PBE, the Alexandria database).

The calculation puts the uncorrected energy at -5.305 eV/atom. The value obtained for the energy above the most stable polymorph in this dataset is 0 meV per atom.

The structure belongs to space group R-3m (No. 166, hexagonal axes); the cell edges are 3.6061, 3.6061 and 18.6775 Å and the angles 90.00°, 90.00° and 120.00°. The distinct sites, in fractional coordinates, are Ru at (0.0000, 0.0000, 0.0000), S at (0.0000, 0.0000, 0.3912) and F at (0.0000, 0.0000, 0.5000).



5.
# RuS2F

A relaxed structure of RuS2F (GGA-PBE, the Alexandria database).

The calculation puts the uncorrected energy at -4.542 eV/atom. The value obtained for the energy above the most stable polymorph in this dataset is 763 meV per atom.

The structure belongs to space group R-3m (No. 166, hexagonal axes); the cell edges are 2.7309, 2.7309 and 25.2515 Å and the angles 90.00°, 90.00° and 120.00°. The distinct sites, in fractional coordinates, are Ru at (0.0000, 0.0000, 0.0000), S at (0.0000, 0.0000, 0.0890) and F at (0.0000, 0.0000, 0.5000).



6.
# SbRuS2F

A relaxed structure of SbRuS2F (GGA-PBE, the Alexandria database).

The calculation puts the uncorrected energy at -4.985 eV/atom.

The structure belongs to space group P4/mmm (No. 123); the cell edges are 4.6781, 4.6781 and 4.0646 Å and the angles 90.00°, 90.00° and 90.00°. The distinct sites, in fractional coordinates, are Sb at (0.0000, 0.0000, 0.0000), Ru at (0.5000, 0.5000, 0.5000), S at (0.0000, 0.5000, 0.5000) and F at (0.5000, 0.5000, 0.0000).